Density functional theory data (GGA-PBE) for TeW after structural relaxation.

Calculated values
Calculated density in kg/m3: 9591
Offset from the most stable computed form in eV per atom: 0.2131
Raw formation energy in eV per atom: 0.44
Spin magnetization in μB/atom: 0.000
VASP energy in eV per atom: -7.61

Cell lengths 8.8816, 3.4274, 7.1666 Å; angles 90.00, 98.66, 90.00 degrees
With the nearest neighbours (Å) after each atom.
Space group C2/m (No. 12)
Unique sites:
Te  0.1040  0.0000  0.2557 x4  5 W 2.83-2.99
W  0.1418  0.5000  0.9527 x4  3 W 2.59-2.71, 3 Te 2.83-2.89

***

Density functional theory data (GGA-PBE) for TeW3 after structural relaxation.

Calculated values
Calculated density in kg/m3: 15946
Offset from the most stable computed form in eV per atom: 0.1473
Raw formation energy in eV per atom: 0.69
Spin magnetization in μB/atom: 0.000
VASP energy in eV per atom: -9.81

Cell lengths 9.6906, 3.1768, 4.6997 Å; angles 90.00, 102.15, 90.00 degrees
With the nearest neighbours (Å) after each atom.
Space group C2/m (No. 12)
Unique sites:
Te  0.0000  0.0000  0.0000 x2  10 W 2.84-3.03
W  0.0000  0.5000  0.5000 x2  6 W 2.83-2.91, 4 Te 2.84
W  0.2410  0.0000  0.7206 x4  5 W 2.65-2.91, 1 Te 2.91